# Mn2HF2

An optimized crystal structure of Mn2HF2 (GGA+U, Alexandria via LeMat-Bulk).

Values from the calculation:
Offset from the most stable computed form (eV per formula unit): 0.000

a b c (Å): 6.655 6.655 2.746
angles (deg): 90.00 90.00 90.00
Space group P4/mbm (No. 127)
Asymmetric unit:
Mn: 0.180 0.320 0.000
H: 0.000 0.000 0.500
F: 0.128 0.628 0.500